Record 1
The following is a PBE calculation of an optimized crystal structure of LiNbSN2, from the Alexandria database.

Results
D(E_F) = 2.83 states/eV per cell
Total DFT energy (no corrections) = -6.60 eV/atom
Offset from the most stable computed form = 0 meV/atom
E_form (uncorrected) = -0.05 eV/atom

Unit cell a=4.0387 b=4.0387 c=5.0577 alpha=90.00 beta=90.00 gamma=90.00
With the nearest neighbours (Å) after each atom.
Positions (direct):
Li 0.0000 0.0000 0.0000  4 S 2.86
Nb 0.5000 0.5000 0.5000  4 N 2.02
S 0.5000 0.5000 0.0000  2 Nb 2.53
N 0.0000 0.5000 0.5000  2 Nb 2.02
N 0.5000 0.0000 0.5000  2 Nb 2.02

Record 2
The following is a PBE calculation of an optimized crystal structure of LiNbS2N, from the Alexandria database.

Results
D(E_F) = 2.56 states/eV per cell
Total DFT energy (no corrections) = -5.39 eV/atom
Offset from the most stable computed form = 700 meV/atom
E_form (uncorrected) = 0.32 eV/atom

Unit cell a=4.3519 b=4.3519 c=3.4590 alpha=90.00 beta=90.00 gamma=90.00
With the nearest neighbours (Å) after each atom.
Positions (direct):
Li 0.0000 0.0000 0.0000  2 N 1.73
Nb 0.5000 0.5000 0.0000  8 S 2.78, 4 Li 3.08
S 0.0000 0.5000 0.5000  2 N 2.18
S 0.5000 0.0000 0.5000  2 N 2.18
N 0.0000 0.0000 0.5000  2 Li 1.73

Record 3
The following is a PBE calculation of an optimized crystal structure of LiNbS2N, from the Alexandria database.

Results
D(E_F) = 2.54 states/eV per cell
Total DFT energy (no corrections) = -6.09 eV/atom
Offset from the most stable computed form = 0 meV/atom
E_form (uncorrected) = -0.38 eV/atom

Unit cell a=4.9059 b=4.9059 c=4.0145 alpha=90.00 beta=90.00 gamma=90.00
With the nearest neighbours (Å) after each atom.
Positions (direct):
Li 0.0000 0.0000 0.0000  8 S 3.17, 4 N 3.47
Nb 0.5000 0.5000 0.5000  2 N 2.01
S 0.0000 0.5000 0.5000  2 Nb 2.45
S 0.5000 0.0000 0.5000  2 Nb 2.45
N 0.5000 0.5000 0.0000  2 Nb 2.01

Record 4
The following is a PBE calculation of an optimized crystal structure of LiScNb2N4, from the Alexandria database.

Results
D(E_F) = 2.41 states/eV per cell
Total DFT energy (no corrections) = -8.93 eV/atom
E_form (uncorrected) = -1.22 eV/atom

Unit cell a=5.3246 b=3.1116 c=5.4988 alpha=90.00 beta=108.68 gamma=90.00
With the nearest neighbours (Å) after each atom.
Positions (direct):
Li 0.0000 0.0000 0.0000  6 N 2.21-2.28
Sc 0.5000 0.5000 0.0000  6 N 2.23
Nb 0.0000 0.5000 0.5000  6 N 2.17-2.21
Nb 0.5000 0.0000 0.5000  6 N 2.15-2.18
N 0.2494 0.0000 0.7462  3 Nb 2.18-2.21, 1 Li 2.21, 2 Sc 2.23
N 0.2605 0.5000 0.2672  3 Nb 2.15-2.17, 1 Sc 2.23, 2 Li 2.28
N 0.7395 0.5000 0.7328  3 Nb 2.15-2.17, 1 Sc 2.23, 2 Li 2.28
N 0.7506 0.0000 0.2538  3 Nb 2.18-2.21, 1 Li 2.21, 2 Sc 2.23

Record 5
The following is a PBE calculation of an optimized crystal structure of LiSc3Nb3N8, from the Alexandria database.

Results
D(E_F) = 9.07 states/eV per cell
Total DFT energy (no corrections) = -9.01 eV/atom
E_form (uncorrected) = -1.16 eV/atom

Unit cell a=6.2377 b=6.2377 c=6.2377 alpha=59.40 beta=59.40 gamma=59.40
With the nearest neighbours (Å) after each atom.
Positions (direct):
Li 0.0000 0.0000 0.0000  6 N 2.17
Sc 0.0000 0.0000 0.5000  6 N 2.20-2.26
Sc 0.0000 0.5000 0.0000  6 N 2.20-2.26
Sc 0.5000 0.0000 0.0000  6 N 2.20-2.26
Nb 0.0000 0.5000 0.5000  6 N 2.13-2.19
Nb 0.5000 0.0000 0.5000  6 N 2.13-2.19
Nb 0.5000 0.5000 0.0000  6 N 2.13-2.19
N 0.2465 0.2465 0.7388  2 Nb 2.13, 1 Li 2.17, 2 Sc 2.26
N 0.2465 0.7388 0.2465  2 Nb 2.13, 1 Li 2.17, 2 Sc 2.26
N 0.2505 0.2505 0.2505  3 Nb 2.19, 3 Sc 2.20
N 0.2612 0.7535 0.7535  2 Nb 2.13, 1 Li 2.17, 2 Sc 2.26
N 0.7388 0.2465 0.2465  2 Nb 2.13, 1 Li 2.17, 2 Sc 2.26
N 0.7495 0.7495 0.7495  3 Nb 2.19, 3 Sc 2.20
N 0.7535 0.2612 0.7535  2 Nb 2.13, 1 Li 2.17, 2 Sc 2.26
N 0.7535 0.7535 0.2612  2 Nb 2.13, 1 Li 2.17, 2 Sc 2.26

Record 6
The following is a PBE calculation of an optimized crystal structure of LiSc2NbN4, from the Alexandria database.

Results
Total DFT energy (no corrections) = -8.65 eV/atom
E_form (uncorrected) = -1.41 eV/atom

Unit cell a=5.5150 b=4.4261 c=5.5137 alpha=66.35 beta=47.32 gamma=66.32
With the nearest neighbours (Å) after each atom.
Positions (direct):
Li 0.0000 0.0000 0.0000  6 N 2.20-2.45
Sc 0.2518 0.2518 0.2482  6 N 2.20-2.27
Sc 0.7518 0.7518 0.7482  6 N 2.20-2.27
Nb 0.5318 0.5318 0.4682  4 N 1.99-2.10
N 0.2679 0.7287 0.2713  1 Nb 2.10, 4 Sc 2.20-2.24
N 0.4959 0.9803 0.5041  1 Nb 1.99, 1 Li 2.20
N 0.7287 0.2679 0.7321  1 Nb 2.10, 4 Sc 2.20-2.24
N 0.9803 0.4959 0.0197  1 Nb 1.99, 1 Li 2.20

Record 7
The following is a PBE calculation of an optimized crystal structure of LiSc2Nb3N6, from the Alexandria database.

Results
D(E_F) = 2.54 states/eV per cell
Total DFT energy (no corrections) = -9.23 eV/atom
E_form (uncorrected) = -1.33 eV/atom

Unit cell a=7.0865 b=7.0865 c=6.2842 alpha=104.52 beta=104.52 gamma=25.34
With the nearest neighbours (Å) after each atom.
Positions (direct):
Li 0.0000 0.0000 0.0000  6 N 2.22-2.28
Sc 0.3385 0.3385 0.6779  6 N 2.17-2.28
Sc 0.6615 0.6615 0.3221  6 N 2.17-2.28
Nb 0.0000 0.0000 0.5000  6 N 2.20-2.25
Nb 0.3434 0.3434 0.1778  6 N 2.09-2.31
Nb 0.6566 0.6566 0.8222  6 N 2.09-2.31
N 0.1682 0.1682 0.5828  3 Nb 2.20-2.25, 3 Sc 2.24-2.28
N 0.1707 0.1707 0.0747  3 Nb 2.19-2.31, 2 Sc 2.22, 1 Li 2.28
N 0.4993 0.4993 0.2526  3 Nb 2.09-2.20, 1 Sc 2.17, 2 Li 2.22
N 0.5007 0.5007 0.7474  3 Nb 2.09-2.20, 1 Sc 2.17, 2 Li 2.22
N 0.8293 0.8293 0.9253  3 Nb 2.19-2.31, 2 Sc 2.22, 1 Li 2.28
N 0.8318 0.8318 0.4172  3 Nb 2.20-2.25, 3 Sc 2.24-2.28

Record 8
The following is a PBE calculation of an optimized crystal structure of LiNbSeN2, from the Alexandria database.

Results
D(E_F) = 3.60 states/eV per cell
Total DFT energy (no corrections) = -6.44 eV/atom
Offset from the most stable computed form = 0 meV/atom
E_form (uncorrected) = -0.02 eV/atom

Unit cell a=4.0166 b=4.0166 c=5.4133 alpha=90.00 beta=90.00 gamma=90.00
With the nearest neighbours (Å) after each atom.
Positions (direct):
Li 0.0000 0.0000 0.0000  4 Se 2.84
Nb 0.5000 0.5000 0.5000  4 N 2.01
Se 0.5000 0.5000 0.0000  2 Nb 2.71, 4 Li 2.84
N 0.0000 0.5000 0.5000  2 Nb 2.01
N 0.5000 0.0000 0.5000  2 Nb 2.01